Computed, not measured: crystalline LiCoC2O6 at its relaxed geometry at the PBE+U level of DFT.

```
LiCoC2O6
1.0
-3.8808 2.4035 0.2057
0.5039 -3.7521 2.5778
6.2411 13.2379 13.9476
C Co O Li
8 4 24 4
Direct
0.9406 0.0602 0.1816
0.1896 0.8103 0.4297
0.4391 0.5592 0.6780
0.6902 0.3076 0.9346
0.3110 0.6906 0.0720
0.5599 0.4407 0.3203
0.8094 0.1897 0.5684
0.0603 0.9417 0.8154
0.1243 0.8744 0.6230
0.3753 0.6247 0.8750
0.6257 0.3754 0.1270
0.8748 0.1255 0.3750
0.3319 0.9827 0.0705
0.5807 0.7328 0.3188
0.8300 0.4817 0.5669
0.0695 0.2276 0.8145
0.2329 0.3330 0.1830
0.4821 0.0829 0.4312
0.7316 0.8318 0.6795
0.9808 0.5845 0.9345
0.6672 0.0811 0.1830
0.9164 0.8314 0.4311
0.1660 0.5806 0.6794
0.4146 0.3207 0.9351
0.5840 0.6692 0.0706
0.8331 0.4196 0.3188
0.0828 0.1688 0.5670
0.3359 0.9286 0.8149
0.0184 0.4180 0.0705
0.2675 0.1680 0.3188
0.5170 0.9169 0.5669
0.7697 0.6648 0.8155
0.9200 0.7681 0.1831
0.1688 0.5182 0.4312
0.4181 0.2671 0.6795
0.6809 0.0217 0.9355
0.0001 0.0017 0.0057
0.2500 0.7504 0.2509
0.4998 0.5000 0.4990
0.7501 0.2480 0.7443
```

Calculated values
Symmetry: P-1
Uncorrected energy: -6.89 eV/atom
Polymorph energy (0 for the lowest one): 2.6 meV per atom